Computed, not measured: an optimized crystal structure of CePu2Ga at the PBE level of DFT.

abc: 3.8861 3.8861 6.4477
angles: 90.00 90.00 90.00
Sites, in units of the cell vectors:
Ga 0.5000 0.5000 0.0000
Ce 0.5000 0.5000 0.5000
Pu 0.0000 0.0000 0.7726
Pu 0.0000 0.0000 0.2274

Values from the calculation:
As for the formation energy from the elements: -96 meV/atom. The crystal system is tetragonal. Its space-group type is P4/mmm (123). The uncorrected energy is -9.502 eV per atom.